[1]
# AlHg4P (GGA-PBE, relaxed)
# VASP energy: -27.12 eV for the cell shown
# Energy of formation from the pure elements: 0.597 eV/atom
data_AlHg4P
_chemical_formula_sum 'Al4 Hg16 P4'
_cell_length_a 8.3857
_cell_length_b 8.3857
_cell_length_c 8.3857
_cell_angle_alpha 90.00
_cell_angle_beta 90.00
_cell_angle_gamma 90.00
_symmetry_space_group_name_H-M 'F -4 3 m'
_symmetry_Int_Tables_number 216
_symmetry_space_group_name_Hall 'F -4 2 3'
loop_
_atom_site_label
_atom_site_fract_x
_atom_site_fract_y
_atom_site_fract_z
_atom_site_occupancy
Al1 0.0000 0.0000 0.0000 1
Hg1 0.1247 0.1247 0.6247 1
P1 0.2500 0.2500 0.2500 1


[2]
# PrHo3Os (GGA-PBE, relaxed)
# VASP energy: -29.86 eV for the cell shown
# Energy of formation from the pure elements: -0.023 eV/atom
data_PrHo3Os
_chemical_formula_sum 'Pr1 Ho3 Os1'
_cell_length_a 5.4301
_cell_length_b 5.4301
_cell_length_c 5.4301
_cell_angle_alpha 90.00
_cell_angle_beta 90.00
_cell_angle_gamma 90.00
_symmetry_space_group_name_H-M 'P m -3 m'
_symmetry_Int_Tables_number 221
_symmetry_space_group_name_Hall '-P 4 2 3'
loop_
_atom_site_label
_atom_site_fract_x
_atom_site_fract_y
_atom_site_fract_z
_atom_site_occupancy
Pr1 0.0000 0.0000 0.0000 1
Ho1 0.0000 0.5000 0.5000 1
Os1 0.5000 0.5000 0.5000 1


[3]
# Ca2DyBi (GGA-PBE, relaxed)
# VASP energy: -37.24 eV for the cell shown
# Energy of formation from the pure elements: 0.019 eV/atom
data_Ca2DyBi
_chemical_formula_sum 'Ca6 Dy3 Bi3'
_cell_length_a 3.6637
_cell_length_b 3.6637
_cell_length_c 37.2537
_cell_angle_alpha 90.00
_cell_angle_beta 90.00
_cell_angle_gamma 120.00
_symmetry_space_group_name_H-M 'R -3 m'
_symmetry_Int_Tables_number 166
_symmetry_space_group_name_Hall '-R 3 2"'
loop_
_atom_site_label
_atom_site_fract_x
_atom_site_fract_y
_atom_site_fract_z
_atom_site_occupancy
Ca1 0.0000 0.0000 0.0863 1
Dy1 0.0000 0.0000 0.5000 1
Bi1 0.0000 0.0000 0.0000 1


[4]
# ScReAu2 (GGA-PBE, relaxed)
# VASP energy: -97.84 eV for the cell shown
# Energy of formation from the pure elements: 0.218 eV/atom
data_ScReAu2
_chemical_formula_sum 'Sc4 Re4 Au8'
_cell_length_a 6.5736
_cell_length_b 6.5736
_cell_length_c 6.5736
_cell_angle_alpha 90.00
_cell_angle_beta 90.00
_cell_angle_gamma 90.00
_symmetry_space_group_name_H-M 'F -4 3 m'
_symmetry_Int_Tables_number 216
_symmetry_space_group_name_Hall 'F -4 2 3'
loop_
_atom_site_label
_atom_site_fract_x
_atom_site_fract_y
_atom_site_fract_z
_atom_site_occupancy
Sc1 0.0000 0.0000 0.0000 1
Re1 0.2500 0.2500 0.2500 1
Au1 0.0000 0.0000 0.5000 1
Au2 0.2500 0.2500 0.7500 1


[5]
# BaScH3 (GGA-PBE, relaxed)
# VASP energy: -20.06 eV for the cell shown
data_BaScH3
_chemical_formula_sum 'Ba1 Sc1 H3'
_cell_length_a 4.2147
_cell_length_b 4.2147
_cell_length_c 4.2147
_cell_angle_alpha 90.00
_cell_angle_beta 90.00
_cell_angle_gamma 90.00
_symmetry_space_group_name_H-M 'P m -3 m'
_symmetry_Int_Tables_number 221
_symmetry_space_group_name_Hall '-P 4 2 3'
loop_
_atom_site_label
_atom_site_fract_x
_atom_site_fract_y
_atom_site_fract_z
_atom_site_occupancy
Ba1 0.0000 0.0000 0.0000 1
Sc1 0.5000 0.5000 0.5000 1
H1 0.0000 0.5000 0.5000 1


[6]
# TcSb2H (GGA-PBE, relaxed)
# VASP energy: -79.36 eV for the cell shown
data_TcSb2H
_chemical_formula_sum 'Tc4 Sb8 H4'
_cell_length_a 6.3102
_cell_length_b 6.3102
_cell_length_c 6.7728
_cell_angle_alpha 90.00
_cell_angle_beta 90.00
_cell_angle_gamma 90.00
_symmetry_space_group_name_H-M 'I -4 2 d'
_symmetry_Int_Tables_number 122
_symmetry_space_group_name_Hall 'I -4 2bw'
loop_
_atom_site_label
_atom_site_fract_x
_atom_site_fract_y
_atom_site_fract_z
_atom_site_occupancy
Tc1 0.0000 0.0000 0.0000 1
Sb1 0.1814 0.7500 0.6250 1
H1 0.0000 0.0000 0.5000 1